[1]
Material: Co2HgAu
Method: DFT, PBE
State: optimized geometry

Calculated values
DOS(E_F) = 5.27 states/eV/f.u.
space group = I-4m2 (119)
spin magnetization = 3.2 μB per formula unit
energy = -4.061 eV per atom
energy of formation from the pure elements = 0.3863 eV per atom

Geometry as CIF:
```
data_Co2HgAu
_chemical_formula_sum 'Co2 Hg1 Au1'
_space_group_name_H-M_alt 'P 1'
_space_group_IT_number 1
_space_group_name_Hall 'P 1'
_cell_length_a 4.8651
_cell_length_b 4.8651
_cell_length_c 4.8651
_cell_angle_alpha 132.69
_cell_angle_beta 132.69
_cell_angle_gamma 69.15
loop_
_atom_site_label
_atom_site_type_symbol
_atom_site_fract_x
_atom_site_fract_y
_atom_site_fract_z
Au1 Au 0.7500 0.2500 0.5000
Co1 Co 0.0000 0.0000 0.0000
Co2 Co 0.2500 0.7500 0.5000
Hg1 Hg 0.5000 0.5000 0.0000
```

=====

[2]
Material: CoHgAu2
Method: DFT, PBE
State: optimized geometry

Calculated values
DOS(E_F) = 4.58 states/eV/f.u.
space group = Pm (6)
spin magnetization = 1.6 μB per formula unit
energy = -3.252 eV per atom
energy of formation from the pure elements = 0.2388 eV per atom

Geometry as CIF:
```
data_CoHgAu2
_chemical_formula_sum 'Co1 Hg1 Au2'
_space_group_name_H-M_alt 'P 1'
_space_group_IT_number 1
_space_group_name_Hall 'P 1'
_cell_length_a 2.9607
_cell_length_b 2.9782
_cell_length_c 8.3487
_cell_angle_alpha 69.31
_cell_angle_beta 90.00
_cell_angle_gamma 90.00
loop_
_atom_site_label
_atom_site_type_symbol
_atom_site_fract_x
_atom_site_fract_y
_atom_site_fract_z
Au1 Au 0.0000 0.9882 0.0103
Au2 Au 0.5000 0.2216 0.2771
Co1 Co 0.0000 0.5118 0.4885
Hg1 Hg 0.5000 0.7784 0.7240
```

=====

[3]
Material: CoHgAu3
Method: DFT, PBE
State: optimized geometry

Calculated values
DOS(E_F) = 5.96 states/eV/f.u.
space group = Pm-3m (221)
spin magnetization = 2.0 μB per formula unit
energy = -2.763 eV per atom
energy of formation from the pure elements = 0.6847 eV per atom

Geometry as CIF:
```
data_CoHgAu3
_chemical_formula_sum 'Co1 Hg1 Au3'
_space_group_name_H-M_alt 'P 1'
_space_group_IT_number 1
_space_group_name_Hall 'P 1'
_cell_length_a 4.8262
_cell_length_b 4.8262
_cell_length_c 4.8262
_cell_angle_alpha 90.00
_cell_angle_beta 90.00
_cell_angle_gamma 90.00
loop_
_atom_site_label
_atom_site_type_symbol
_atom_site_fract_x
_atom_site_fract_y
_atom_site_fract_z
Co1 Co 0.0000 0.0000 0.0000
Au1 Au 0.0000 0.5000 0.0000
Au2 Au 0.0000 0.0000 0.5000
Au3 Au 0.5000 0.0000 0.0000
Hg1 Hg 0.5000 0.5000 0.5000
```